Record 1
## ZrPbSe2 (PBE)

Data for ZrPbSe2 after structural relaxation.

## Properties
- E_form (uncorrected): -9.80 kcal/mol of atoms
- VASP energy: -5.23 eV/atom
- Magnetic moment: 0.0 Bohr magnetons per cell

a = 3.818 Å, b = 3.818 Å, c = 26.458 Å
α = 90.00°, β = 90.00°, γ = 120.00°
Atoms (fractional coordinates):
Zr  0.000  0.000  0.000
Zr  0.333  0.667  0.667
Zr  0.667  0.333  0.333
Pb  0.000  0.000  0.761
Pb  0.333  0.667  0.428
Pb  0.667  0.333  0.094
Se  0.000  0.000  0.280
Se  0.000  0.000  0.494
Se  0.333  0.667  0.161
Se  0.333  0.667  0.947
Se  0.667  0.333  0.613
Se  0.667  0.333  0.827


Record 2
## ZrPbSe2 (PBE)

Data for ZrPbSe2 after structural relaxation.

## Properties
- E_form (uncorrected): -21.94 kcal/mol of atoms
- VASP energy: -5.76 eV/atom
- Magnetic moment: 0.0 Bohr magnetons per cell

a = 3.686 Å, b = 3.686 Å, c = 9.202 Å
α = 90.00°, β = 90.00°, γ = 120.00°
Atoms (fractional coordinates):
Zr  0.000  0.000  0.000
Pb  0.333  0.667  0.495
Se  0.333  0.667  0.818
Se  0.667  0.333  0.183